(1)
The following is a PBE-GGA calculation of BeRu2Au2 after structural relaxation, from Alexandria.

As for the calculated formation energy: 1.9 eV per formula unit. For the final energy, the calculation gives -53.8 eV for the cell shown.

```
data_BeRu2Au2
_space_group_name_H-M_alt 'P 1'
_space_group_IT_number 1
_cell_length_a 5.864
_cell_length_b 5.864
_cell_length_c 4.478
_cell_angle_alpha 90.00
_cell_angle_beta 90.00
_cell_angle_gamma 90.00
loop_
_space_group_symop_operation_xyz
'x,y,z'
loop_
_atom_site_label
_atom_site_fract_x
_atom_site_fract_y
_atom_site_fract_z
Ru1 0.358 0.858 0.000
Ru2 0.858 0.642 0.000
Ru3 0.642 0.142 0.000
Ru4 0.142 0.358 0.000
Au1 0.173 0.673 0.500
Au2 0.673 0.827 0.500
Au3 0.827 0.327 0.500
Au4 0.327 0.173 0.500
Be1 0.000 0.000 0.000
Be2 0.500 0.500 0.000
```

***

(2)
The following is a PBE-GGA calculation of Be2RuAu2 after structural relaxation, from Alexandria.

As for the calculated formation energy: 0.0 eV per formula unit. For the final energy, the calculation gives -46.5 eV for the cell shown.

```
data_Be2RuAu2
_space_group_name_H-M_alt 'P 1'
_space_group_IT_number 1
_cell_length_a 6.581
_cell_length_b 6.581
_cell_length_c 3.012
_cell_angle_alpha 90.00
_cell_angle_beta 90.00
_cell_angle_gamma 90.00
loop_
_space_group_symop_operation_xyz
'x,y,z'
loop_
_atom_site_label
_atom_site_fract_x
_atom_site_fract_y
_atom_site_fract_z
Ru1 0.000 0.000 0.000
Ru2 0.500 0.500 0.000
Au1 0.164 0.664 0.500
Au2 0.664 0.836 0.500
Au3 0.836 0.336 0.500
Au4 0.336 0.164 0.500
Be1 0.364 0.864 0.000
Be2 0.864 0.636 0.000
Be3 0.636 0.136 0.000
Be4 0.136 0.364 0.000
```

***

(3)
The following is a PBE-GGA calculation of BeRuAu2 after structural relaxation, from Alexandria.

As for the calculated formation energy: 1.3 eV per formula unit. For the final energy, the calculation gives -18.2 eV for the cell shown.

```
data_BeRuAu2
_space_group_name_H-M_alt 'P 1'
_space_group_IT_number 1
_cell_length_a 4.721
_cell_length_b 4.721
_cell_length_c 4.721
_cell_angle_alpha 129.90
_cell_angle_beta 129.90
_cell_angle_gamma 73.56
loop_
_space_group_symop_operation_xyz
'x,y,z'
loop_
_atom_site_label
_atom_site_fract_x
_atom_site_fract_y
_atom_site_fract_z
Ru1 0.750 0.250 0.500
Au1 0.000 0.000 0.000
Au2 0.500 0.500 0.000
Be1 0.250 0.750 0.500
```

***

(4)
The following is a PBE-GGA calculation of Be2RuAu after structural relaxation, from Alexandria.

As for the calculated formation energy: -0.1 eV per formula unit. For the final energy, the calculation gives -20.1 eV for the cell shown.

```
data_Be2RuAu
_space_group_name_H-M_alt 'P 1'
_space_group_IT_number 1
_cell_length_a 3.968
_cell_length_b 3.968
_cell_length_c 4.712
_cell_angle_alpha 74.65
_cell_angle_beta 74.65
_cell_angle_gamma 44.58
loop_
_space_group_symop_operation_xyz
'x,y,z'
loop_
_atom_site_label
_atom_site_fract_x
_atom_site_fract_y
_atom_site_fract_z
Ru1 0.750 0.750 0.750
Au1 0.250 0.250 0.250
Be1 0.005 0.005 0.958
Be2 0.495 0.495 0.542
```

***

(5)
The following is a PBE-GGA calculation of BeRuAu2 after structural relaxation, from Alexandria.

As for the calculated formation energy: 0.9 eV per formula unit. For the final energy, the calculation gives -18.7 eV for the cell shown.

```
data_BeRuAu2
_space_group_name_H-M_alt 'P 1'
_space_group_IT_number 1
_cell_length_a 5.248
_cell_length_b 5.248
_cell_length_c 5.248
_cell_angle_alpha 147.56
_cell_angle_beta 129.75
_cell_angle_gamma 61.10
loop_
_space_group_symop_operation_xyz
'x,y,z'
loop_
_atom_site_label
_atom_site_fract_x
_atom_site_fract_y
_atom_site_fract_z
Ru1 0.250 0.750 0.500
Au1 0.956 0.956 0.000
Au2 0.544 0.544 0.000
Be1 0.750 0.250 0.500
```

***

(6)
The following is a PBE-GGA calculation of BeRuAu2 after structural relaxation, from Alexandria.

As for the calculated formation energy: 1.1 eV per formula unit. For the final energy, the calculation gives -18.4 eV for the cell shown.

```
data_BeRuAu2
_space_group_name_H-M_alt 'P 1'
_space_group_IT_number 1
_cell_length_a 3.973
_cell_length_b 2.815
_cell_length_c 5.571
_cell_angle_alpha 73.37
_cell_angle_beta 90.00
_cell_angle_gamma 90.00
loop_
_space_group_symop_operation_xyz
'x,y,z'
loop_
_atom_site_label
_atom_site_fract_x
_atom_site_fract_y
_atom_site_fract_z
Ru1 0.500 0.750 0.750
Au1 0.000 0.105 0.018
Au2 0.000 0.395 0.482
Be1 0.500 0.250 0.250
```

***

(7)
The following is a PBE-GGA calculation of BeRuAu2 after structural relaxation, from Alexandria.

As for the calculated formation energy: 1.2 eV per formula unit. For the final energy, the calculation gives -18.4 eV for the cell shown.

```
data_BeRuAu2
_space_group_name_H-M_alt 'P 1'
_space_group_IT_number 1
_cell_length_a 4.756
_cell_length_b 4.756
_cell_length_c 2.828
_cell_angle_alpha 90.01
_cell_angle_beta 90.01
_cell_angle_gamma 109.35
loop_
_space_group_symop_operation_xyz
'x,y,z'
loop_
_atom_site_label
_atom_site_fract_x
_atom_site_fract_y
_atom_site_fract_z
Ru1 0.000 0.500 0.500
Au1 0.000 0.000 0.000
Au2 0.500 0.500 0.000
Be1 0.500 0.000 0.500
```

***

(8)
The following is a PBE-GGA calculation of Be2RuAu after structural relaxation, from Alexandria.

As for the calculated formation energy: 0.9 eV per formula unit. For the final energy, the calculation gives -38.2 eV for the cell shown.

```
data_Be2RuAu
_space_group_name_H-M_alt 'P 1'
_space_group_IT_number 1
_cell_length_a 6.134
_cell_length_b 6.134
_cell_length_c 5.132
_cell_angle_alpha 53.30
_cell_angle_beta 53.30
_cell_angle_gamma 90.00
loop_
_space_group_symop_operation_xyz
'x,y,z'
loop_
_atom_site_label
_atom_site_fract_x
_atom_site_fract_y
_atom_site_fract_z
Ru1 0.500 0.500 0.000
Ru2 0.250 0.750 0.500
Au1 0.000 0.000 0.000
Au2 0.750 0.250 0.500
Be1 0.618 0.125 0.250
Be2 0.132 0.625 0.250
Be3 0.375 0.382 0.750
Be4 0.875 0.868 0.750
```